Entry from Alexandria: crystalline In3PbBr6 at its relaxed geometry (PBE).

Cell: 9.169 9.169 9.169 Å, 91.42 91.42 91.42°
Sites, in units of the cell vectors:
In 0.079 0.565 0.244
In 0.244 0.079 0.565
In 0.435 0.756 0.921
In 0.565 0.244 0.079
In 0.756 0.921 0.435
In 0.921 0.435 0.756
Pb 0.000 0.000 0.000
Pb 0.500 0.500 0.500
Br 0.096 0.696 0.891
Br 0.109 0.904 0.304
Br 0.180 0.411 0.529
Br 0.304 0.109 0.904
Br 0.411 0.529 0.180
Br 0.471 0.820 0.589
Br 0.529 0.180 0.411
Br 0.589 0.471 0.820
Br 0.696 0.891 0.096
Br 0.820 0.589 0.471
Br 0.891 0.096 0.696
Br 0.904 0.304 0.109

Summary:
**Symmetry**: R-3, No. 148
**Formation energy (no corrections)**: -691 meV/atom

***

Entry from Alexandria: crystalline Sc3Fe8Mo at its relaxed geometry (PBE).

Cell: 4.878 4.878 8.452 Å, 73.23 73.23 60.00°
Last column: magnetic moment on the atom in μB.
Sites, in units of the cell vectors:
Sc 0.375 0.375 0.876  -0.41
Sc 0.999 0.999 0.002  -0.37
Sc 0.501 0.501 0.498  -0.30
Fe 0.934 0.437 0.193  1.85
Fe 0.441 0.939 0.682  1.83
Fe 0.437 0.437 0.193  1.85
Fe 0.939 0.939 0.682  1.83
Fe 0.188 0.188 0.437  1.78
Fe 0.688 0.688 0.937  1.88
Fe 0.437 0.934 0.193  1.85
Fe 0.939 0.441 0.682  1.83
Mo 0.875 0.875 0.375  -0.67

Summary:
**ΔH_f (0 K)**: -0.183 eV/atom
**Symmetry**: R3m, No. 160

***

Entry from Alexandria: crystalline ZrMnSN2 at its relaxed geometry (PBE).

Cell: 4.087 4.087 5.381 Å, 90.00 90.00 90.00°
Last column: magnetic moment on the atom in μB.
Sites, in units of the cell vectors:
S 0.000 0.000 0.500  0.04
Mn 0.500 0.500 0.500  4.48
Zr 0.000 0.000 0.000  -0.03
N 0.000 0.500 0.000  0.22
N 0.500 0.000 0.000  0.22

Summary:
**Symmetry**: P4/mmm, No. 123
**Formation energy (no corrections)**: 318 meV/atom
**Energy relative to the lowest polymorph listed for this composition**: 356 meV per atom

***

Entry from Alexandria: crystalline NaPa2B2N6 at its relaxed geometry (PBE).

Cell: 6.148 5.618 5.221 Å, 107.28 77.79 66.03°
Sites, in units of the cell vectors:
Na 0.500 0.000 0.500
Pa 0.837 0.380 0.769
Pa 0.163 0.620 0.231
B 0.235 0.727 0.761
B 0.765 0.273 0.239
N 0.416 0.706 0.907
N 0.877 0.461 0.251
N 0.158 0.928 0.632
N 0.123 0.539 0.749
N 0.842 0.072 0.368
N 0.584 0.294 0.093

Summary:
**Symmetry**: P-1, No. 2
**Formation energy (no corrections)**: -1021 meV/atom

***

Entry from Alexandria: crystalline RbAl2Co2 at its relaxed geometry (PBE).

Cell: 7.837 7.837 2.761 Å, 90.00 90.00 90.00°
Last column: magnetic moment on the atom in μB.
Sites, in units of the cell vectors:
Co 0.146 0.646 0.500  0.27
Co 0.646 0.854 0.500  0.29
Co 0.854 0.354 0.500  0.27
Co 0.354 0.146 0.500  0.29
Al 0.375 0.875 0.000  -0.01
Al 0.875 0.625 0.000  -0.01
Al 0.625 0.125 0.000  -0.01
Al 0.125 0.375 0.000  -0.01
Rb 0.000 0.000 0.000  -0.01
Rb 0.500 0.500 0.000  -0.01

Summary:
**ΔH_f (0 K)**: 0.341 eV/atom
**Symmetry**: P4/mbm, No. 127
**Energy relative to the lowest polymorph listed for this composition**: 70 meV per atom

***

Entry from Alexandria: crystalline Ho5Mg2Ru2 at its relaxed geometry (PBE).

Cell: 8.558 6.557 9.802 Å, 109.54 115.88 90.00°
Sites, in units of the cell vectors:
Ho 0.259 0.621 0.925
Ho 0.741 0.697 0.075
Ho 0.165 0.121 0.925
Ho 0.835 0.197 0.075
Ho 0.255 0.102 0.305
Ho 0.745 0.797 0.695
Ho 0.549 0.602 0.305
Ho 0.451 0.297 0.695
Ho 0.043 0.843 0.500
Ho 0.957 0.343 0.500
Mg 0.145 0.579 0.211
Mg 0.855 0.368 0.789
Mg 0.566 0.079 0.211
Mg 0.434 0.868 0.789
Ru 0.000 0.810 0.000
Ru 0.500 0.310 0.000
Ru 0.251 0.519 0.500
Ru 0.749 0.019 0.500

Summary:
**ΔH_f (0 K)**: -0.111 eV/atom
**Symmetry**: Ima2, No. 46

***

Entry from Alexandria: crystalline Cs3CaAg2Br6 at its relaxed geometry (PBE).

Cell: 8.192 8.192 9.088 Å, 90.00 90.00 120.00°
Sites, in units of the cell vectors:
Cs 0.333 0.667 0.636
Cs 0.667 0.333 0.364
Cs 0.000 0.000 0.000
Ca 0.000 0.000 0.500
Ag 0.667 0.333 0.841
Ag 0.333 0.667 0.159
Br 0.672 0.836 0.309
Br 0.164 0.328 0.309
Br 0.164 0.836 0.309
Br 0.836 0.672 0.691
Br 0.328 0.164 0.691
Br 0.836 0.164 0.691

Summary:
**Symmetry**: P-3m1, No. 164
**Formation energy (no corrections)**: -1242 meV/atom

***

Entry from Alexandria: crystalline LaTlCl4 at its relaxed geometry (PBE).

Cell: 4.415 7.717 19.789 Å, 90.00 90.00 90.00°
Sites, in units of the cell vectors:
La 0.750 0.248 0.441
La 0.250 0.752 0.559
La 0.250 0.252 0.941
La 0.750 0.748 0.059
Tl 0.750 0.791 0.792
Tl 0.250 0.209 0.208
Tl 0.250 0.709 0.292
Tl 0.750 0.291 0.708
Cl 0.750 0.906 0.635
Cl 0.250 0.094 0.365
Cl 0.250 0.594 0.135
Cl 0.750 0.406 0.865
Cl 0.750 0.858 0.464
Cl 0.250 0.142 0.536
Cl 0.250 0.642 0.964
Cl 0.750 0.358 0.036
Cl 0.750 0.992 0.938
Cl 0.250 0.008 0.062
Cl 0.250 0.508 0.438
Cl 0.750 0.492 0.562
Cl 0.750 0.908 0.194
Cl 0.250 0.092 0.806
Cl 0.250 0.592 0.694
Cl 0.750 0.408 0.306

Summary:
**Symmetry**: Pnma, No. 62
**Formation energy (no corrections)**: -1951 meV/atom
**Energy relative to the lowest polymorph listed for this composition**: 0 meV per atom

***

Entry from Alexandria: crystalline GdMgSc2 at its relaxed geometry (PBE).

Cell: 5.262 5.262 5.262 Å, 60.00 60.00 60.00°
Last column: magnetic moment on the atom in μB.
Sites, in units of the cell vectors:
Sc 0.250 0.250 0.250  0.13
Sc 0.750 0.750 0.750  0.13
Mg 0.500 0.500 0.500  -0.01
Gd 0.000 0.000 0.000  7.31

Summary:
**ΔH_f (0 K)**: 0.100 eV/atom
**Symmetry**: Fm-3m, No. 225
**Energy relative to the lowest polymorph listed for this composition**: 61 meV per atom

***

Entry from Alexandria: crystalline CaErAl4 at its relaxed geometry (PBE).

Cell: 5.586 5.586 5.586 Å, 60.00 60.00 60.00°
Sites, in units of the cell vectors:
Ca 0.250 0.250 0.250
Er 0.000 0.000 0.000
Al 0.625 0.625 0.124
Al 0.625 0.124 0.625
Al 0.124 0.625 0.625
Al 0.625 0.625 0.625

Summary:
**ΔH_f (0 K)**: -0.398 eV/atom
**Symmetry**: F-43m, No. 216

***

Entry from Alexandria: crystalline SmUS2 at its relaxed geometry (PBE).

Cell: 3.873 3.873 13.458 Å, 90.00 90.00 120.00°
Last column: magnetic moment on the atom in μB.
Sites, in units of the cell vectors:
Sm 0.667 0.333 0.250  -0.01
Sm 0.333 0.667 0.750  -0.01
U 0.000 0.000 0.500  2.53
U 0.000 0.000 0.000  2.53
S 0.333 0.667 0.380  -0.04
S 0.667 0.333 0.880  -0.04
S 0.667 0.333 0.620  -0.04
S 0.333 0.667 0.120  -0.04

Summary:
**Symmetry**: P6_3/mmc, No. 194
**Formation energy (no corrections)**: -1643 meV/atom
**Energy relative to the lowest polymorph listed for this composition**: 32 meV per atom

***

Entry from Alexandria: crystalline TcAs3P at its relaxed geometry (PBE).

Cell: 4.769 4.769 4.769 Å, 90.00 90.00 90.00°
Sites, in units of the cell vectors:
P 0.500 0.500 0.500
As 0.000 0.500 0.000
As 0.000 0.000 0.500
As 0.500 0.000 0.000
Tc 0.000 0.000 0.000

Summary:
**ΔH_f (0 K)**: 0.716 eV/atom
**Symmetry**: Pm-3m, No. 221
**Energy relative to the lowest polymorph listed for this composition**: 0 meV per atom